{"formula": "La2CrGaMo", "functional": "PBE", "state": "relaxed", "cell": [[5.495, 0.000, 0.000], [0.000, 5.495, 0.000], [0.000, 0.000, 4.658]], "species": ["La", "La", "Cr", "Ga", "Mo"], "fractional_positions": [[0.000, 0.500, 0.000], [0.500, 0.000, 0.000], [0.000, 0.000, 0.500], [0.500, 0.500, 0.500], [0.000, 0.000, 0.000]], "final_energy_ev_per_cell": -30.89, "n_ef_per_ev_atom": 1.15, "formation_energy_ev_per_atom": 0.4883}